HgAs2Pt | PBE-GGA | optimized geometry

Calculated values
E_tot ... -3.820 eV/atom
ρ ... 11.0 Mg/m³
Energy of formation ... 0.0904 eV per atom
Symmetry ... Pm

Lattice parameters (Å, degrees): 2.960 3.432 8.243 90.00 99.86 90.00
Atoms (fractional coordinates):
Hg 0.000 0.000 0.000
As 0.712 0.000 0.435
As 0.882 0.500 0.733
Pt 0.136 0.500 0.274